[1]
# SCAN Ta2SbAu, single point on PBEsol structure
data_Ta2SbAu
_chemical_formula_sum 'Ta2 Sb1 Au1'
_symmetry_space_group_name_H-M 'P 1'
_symmetry_Int_Tables_number 1
_cell_length_a 3.185
_cell_length_b 3.185
_cell_length_c 7.125
_cell_angle_alpha 90.00
_cell_angle_beta 90.00
_cell_angle_gamma 90.00
loop_
_symmetry_equiv_pos_as_xyz
'x,y,z'
loop_
_atom_site_label
_atom_site_type_symbol
_atom_site_fract_x
_atom_site_fract_y
_atom_site_fract_z
_atom_site_occupancy
Ta1 Ta 0.000 0.000 0.243 1
Ta2 Ta 0.000 0.000 0.757 1
Sb1 Sb 0.500 0.500 0.000 1
Au1 Au 0.500 0.500 0.500 1
# M_tot, μB per cell: 0.000
# SG: P4/mmm, No. 123
# Raw total energy, eV per formula unit: -238.85
# N(E_F), states/eV per cell: 3.6

=====

[2]
# SCAN Cu2Te, single point on PBEsol structure
data_Cu2Te
_chemical_formula_sum 'Cu4 Te2'
_symmetry_space_group_name_H-M 'P 1'
_symmetry_Int_Tables_number 1
_cell_length_a 7.927
_cell_length_b 7.927
_cell_length_c 3.675
_cell_angle_alpha 90.00
_cell_angle_beta 90.00
_cell_angle_gamma 153.10
loop_
_symmetry_equiv_pos_as_xyz
'x,y,z'
loop_
_atom_site_label
_atom_site_type_symbol
_atom_site_fract_x
_atom_site_fract_y
_atom_site_fract_z
_atom_site_occupancy
Cu1 Cu 0.055 0.945 0.750 1
Cu2 Cu 0.443 0.557 0.750 1
Cu3 Cu 0.557 0.443 0.250 1
Cu4 Cu 0.945 0.055 0.250 1
Te1 Te 0.175 0.825 0.250 1
Te2 Te 0.825 0.175 0.750 1
# M_tot, μB per cell: 0.000
# SG: Cmcm, No. 63
# Raw total energy, eV per formula unit: -67.55
# N(E_F), states/eV per cell: 3.4

=====

[3]
# SCAN MnSeO3, single point on PBEsol structure
data_MnSeO3
_chemical_formula_sum 'Mn4 Se4 O12'
_symmetry_space_group_name_H-M 'P 1'
_symmetry_Int_Tables_number 1
_cell_length_a 6.002
_cell_length_b 7.755
_cell_length_c 5.147
_cell_angle_alpha 90.00
_cell_angle_beta 90.00
_cell_angle_gamma 90.00
loop_
_symmetry_equiv_pos_as_xyz
'x,y,z'
loop_
_atom_site_label
_atom_site_type_symbol
_atom_site_fract_x
_atom_site_fract_y
_atom_site_fract_z
_atom_site_occupancy
Mn1 Mn 0.000 0.000 0.000 1
Mn2 Mn 0.000 0.500 0.000 1
Mn3 Mn 0.500 0.000 0.500 1
Mn4 Mn 0.500 0.500 0.500 1
Se1 Se 0.018 0.250 0.483 1
Se2 Se 0.482 0.750 0.983 1
Se3 Se 0.518 0.250 0.017 1
Se4 Se 0.982 0.750 0.517 1
O1 O 0.075 0.250 0.814 1
O2 O 0.182 0.080 0.364 1
O3 O 0.182 0.420 0.364 1
O4 O 0.318 0.580 0.864 1
O5 O 0.318 0.920 0.864 1
O6 O 0.425 0.750 0.314 1
O7 O 0.575 0.250 0.686 1
O8 O 0.682 0.080 0.136 1
O9 O 0.682 0.420 0.136 1
O10 O 0.818 0.580 0.636 1
O11 O 0.818 0.920 0.636 1
O12 O 0.925 0.750 0.186 1
# M_tot, μB per cell: 20.000
# SG: Pnma, No. 62
# Raw total energy, eV per formula unit: -64.06
# N(E_F), states/eV per cell: 0.0

=====

[4]
# SCAN Li2MgRe, single point on PBEsol structure
data_Li2MgRe
_chemical_formula_sum 'Li2 Mg1 Re1'
_symmetry_space_group_name_H-M 'P 1'
_symmetry_Int_Tables_number 1
_cell_length_a 2.542
_cell_length_b 4.755
_cell_length_c 5.115
_cell_angle_alpha 90.00
_cell_angle_beta 93.01
_cell_angle_gamma 90.00
loop_
_symmetry_equiv_pos_as_xyz
'x,y,z'
loop_
_atom_site_label
_atom_site_type_symbol
_atom_site_fract_x
_atom_site_fract_y
_atom_site_fract_z
_atom_site_occupancy
Li1 Li 0.181 0.000 0.213 1
Li2 Li 0.819 0.000 0.787 1
Mg1 Mg 0.000 0.500 0.500 1
Re1 Re 0.500 0.500 0.000 1
# Formation energy, meV per atom: 306
# M_tot, μB per cell: 0.000
# SG: P2/m, No. 10
# N(E_F), states/eV per cell: 2.3

=====

[5]
# SCAN HfCr2CdPt, single point on PBEsol structure
data_HfCr2CdPt
_chemical_formula_sum 'Hf1 Cr2 Cd1 Pt1'
_symmetry_space_group_name_H-M 'P 1'
_symmetry_Int_Tables_number 1
_cell_length_a 4.451
_cell_length_b 4.451
_cell_length_c 5.129
_cell_angle_alpha 90.00
_cell_angle_beta 90.00
_cell_angle_gamma 90.00
loop_
_symmetry_equiv_pos_as_xyz
'x,y,z'
loop_
_atom_site_label
_atom_site_type_symbol
_atom_site_fract_x
_atom_site_fract_y
_atom_site_fract_z
_atom_site_occupancy
Hf1 Hf 0.000 0.000 0.000 1
Cr1 Cr 0.000 0.500 0.000 1
Cr2 Cr 0.500 0.000 0.000 1
Cd1 Cd 0.000 0.000 0.500 1
Pt1 Pt 0.500 0.500 0.500 1
# Formation energy, meV per atom: 1682
# M_tot, μB per cell: 5.684
# SG: P4/mmm, No. 123
# N(E_F), states/eV per cell: 5.3

=====

[6]
# SCAN Mg30MnCdO32, single point on PBEsol structure
data_Mg30MnCdO32
_chemical_formula_sum 'Mg30 Mn1 Cd1 O32'
_symmetry_space_group_name_H-M 'P 1'
_symmetry_Int_Tables_number 1
_cell_length_a 8.466
_cell_length_b 8.466
_cell_length_c 8.466
_cell_angle_alpha 90.00
_cell_angle_beta 90.00
_cell_angle_gamma 90.00
loop_
_symmetry_equiv_pos_as_xyz
'x,y,z'
loop_
_atom_site_label
_atom_site_type_symbol
_atom_site_fract_x
_atom_site_fract_y
_atom_site_fract_z
_atom_site_occupancy
Mg1 Mg 0.000 0.000 0.000 1
Mg2 Mg 0.000 0.248 0.251 1
Mg3 Mg 0.000 0.248 0.749 1
Mg4 Mg 0.000 0.500 0.000 1
Mg5 Mg 0.000 0.500 0.500 1
Mg6 Mg 0.000 0.752 0.251 1
Mg7 Mg 0.000 0.752 0.749 1
Mg8 Mg 0.246 0.246 0.500 1
Mg9 Mg 0.246 0.754 0.500 1
Mg10 Mg 0.248 0.000 0.251 1
Mg11 Mg 0.248 0.000 0.749 1
Mg12 Mg 0.248 0.500 0.248 1
Mg13 Mg 0.248 0.500 0.752 1
Mg14 Mg 0.250 0.250 0.000 1
Mg15 Mg 0.250 0.750 0.000 1
Mg16 Mg 0.500 0.000 0.000 1
Mg17 Mg 0.500 0.000 0.500 1
Mg18 Mg 0.500 0.248 0.248 1
Mg19 Mg 0.500 0.248 0.752 1
Mg20 Mg 0.500 0.500 0.000 1
Mg21 Mg 0.500 0.752 0.248 1
Mg22 Mg 0.500 0.752 0.752 1
Mg23 Mg 0.750 0.250 0.000 1
Mg24 Mg 0.750 0.750 0.000 1
Mg25 Mg 0.752 0.000 0.251 1
Mg26 Mg 0.752 0.000 0.749 1
Mg27 Mg 0.752 0.500 0.248 1
Mg28 Mg 0.752 0.500 0.752 1
Mg29 Mg 0.754 0.246 0.500 1
Mg30 Mg 0.754 0.754 0.500 1
Mn1 Mn 0.000 0.000 0.500 1
Cd1 Cd 0.500 0.500 0.500 1
O1 O 0.000 0.000 0.251 1
O2 O 0.000 0.000 0.749 1
O3 O 0.000 0.246 0.500 1
O4 O 0.000 0.249 0.000 1
O5 O 0.000 0.500 0.249 1
O6 O 0.000 0.500 0.751 1
O7 O 0.000 0.751 0.000 1
O8 O 0.000 0.754 0.500 1
O9 O 0.236 0.500 0.500 1
O10 O 0.246 0.000 0.500 1
O11 O 0.248 0.500 0.000 1
O12 O 0.249 0.000 0.000 1
O13 O 0.250 0.250 0.251 1
O14 O 0.250 0.250 0.749 1
O15 O 0.250 0.750 0.251 1
O16 O 0.250 0.750 0.749 1
O17 O 0.500 0.000 0.249 1
O18 O 0.500 0.000 0.751 1
O19 O 0.500 0.236 0.500 1
O20 O 0.500 0.248 0.000 1
O21 O 0.500 0.500 0.237 1
O22 O 0.500 0.500 0.763 1
O23 O 0.500 0.752 0.000 1
O24 O 0.500 0.764 0.500 1
O25 O 0.750 0.250 0.251 1
O26 O 0.750 0.250 0.749 1
O27 O 0.750 0.750 0.251 1
O28 O 0.750 0.750 0.749 1
O29 O 0.751 0.000 0.000 1
O30 O 0.752 0.500 0.000 1
O31 O 0.754 0.000 0.500 1
O32 O 0.764 0.500 0.500 1
# M_tot, μB per cell: 1.000
# SG: P4/mmm, No. 123
# Raw total energy, eV per formula unit: -581.77

=====

[7]
# SCAN AlIrF2, single point on PBEsol structure
data_AlIrF2
_chemical_formula_sum 'Al1 Ir1 F2'
_symmetry_space_group_name_H-M 'P 1'
_symmetry_Int_Tables_number 1
_cell_length_a 9.616
_cell_length_b 9.616
_cell_length_c 9.616
_cell_angle_alpha 15.97
_cell_angle_beta 15.97
_cell_angle_gamma 15.97
loop_
_symmetry_equiv_pos_as_xyz
'x,y,z'
loop_
_atom_site_label
_atom_site_type_symbol
_atom_site_fract_x
_atom_site_fract_y
_atom_site_fract_z
_atom_site_occupancy
Al1 Al 0.000 0.000 0.000 1
Ir1 Ir 0.500 0.500 0.500 1
F1 F 0.379 0.379 0.379 1
F2 F 0.621 0.621 0.621 1
# M_tot, μB per cell: 0.516
# SG: R-3m, No. 166
# Raw total energy, eV per formula unit: -90.21
# N(E_F), states/eV per cell: 2.2

=====

[8]
# SCAN Ti3AlNi12, single point on PBEsol structure
data_Ti3AlNi12
_chemical_formula_sum 'Ti3 Al1 Ni12'
_symmetry_space_group_name_H-M 'P 1'
_symmetry_Int_Tables_number 1
_cell_length_a 5.017
_cell_length_b 5.017
_cell_length_c 8.172
_cell_angle_alpha 90.00
_cell_angle_beta 90.00
_cell_angle_gamma 120.00
loop_
_symmetry_equiv_pos_as_xyz
'x,y,z'
loop_
_atom_site_label
_atom_site_type_symbol
_atom_site_fract_x
_atom_site_fract_y
_atom_site_fract_z
_atom_site_occupancy
Ti1 Ti 0.000 0.000 0.000 1
Ti2 Ti 0.333 0.667 0.248 1
Ti3 Ti 0.333 0.667 0.752 1
Al1 Al 0.667 0.333 0.500 1
Ni1 Ni 0.162 0.323 0.500 1
Ni2 Ni 0.162 0.838 0.500 1
Ni3 Ni 0.333 0.167 0.250 1
Ni4 Ni 0.333 0.167 0.750 1
Ni5 Ni 0.506 0.012 0.000 1
Ni6 Ni 0.506 0.494 0.000 1
Ni7 Ni 0.677 0.838 0.500 1
Ni8 Ni 0.833 0.167 0.250 1
Ni9 Ni 0.833 0.167 0.750 1
Ni10 Ni 0.833 0.667 0.250 1
Ni11 Ni 0.833 0.667 0.750 1
Ni12 Ni 0.988 0.494 0.000 1
# Formation energy, meV per atom: -488
# M_tot, μB per cell: 0.007
# SG: P-6m2, No. 187
# N(E_F), states/eV per cell: 14.0

=====

[9]
# SCAN Rb3HgAs, single point on PBEsol structure
data_Rb3HgAs
_chemical_formula_sum 'Rb3 Hg1 As1'
_symmetry_space_group_name_H-M 'P 1'
_symmetry_Int_Tables_number 1
_cell_length_a 6.656
_cell_length_b 6.656
_cell_length_c 6.656
_cell_angle_alpha 90.00
_cell_angle_beta 90.00
_cell_angle_gamma 90.00
loop_
_symmetry_equiv_pos_as_xyz
'x,y,z'
loop_
_atom_site_label
_atom_site_type_symbol
_atom_site_fract_x
_atom_site_fract_y
_atom_site_fract_z
_atom_site_occupancy
Rb1 Rb 0.000 0.000 0.500 1
Rb2 Rb 0.000 0.500 0.000 1
Rb3 Rb 0.500 0.000 0.000 1
Hg1 Hg 0.500 0.500 0.500 1
As1 As 0.000 0.000 0.000 1
# Formation energy, meV per atom: -173
# M_tot, μB per cell: 0.001
# SG: Pm-3m, No. 221
# N(E_F), states/eV per cell: 3.2

=====

[10]
# SCAN SrMg2Rh2, single point on PBEsol structure
data_SrMg2Rh2
_chemical_formula_sum 'Sr1 Mg2 Rh2'
_symmetry_space_group_name_H-M 'P 1'
_symmetry_Int_Tables_number 1
_cell_length_a 6.319
_cell_length_b 6.319
_cell_length_c 6.319
_cell_angle_alpha 140.00
_cell_angle_beta 140.00
_cell_angle_gamma 57.86
loop_
_symmetry_equiv_pos_as_xyz
'x,y,z'
loop_
_atom_site_label
_atom_site_type_symbol
_atom_site_fract_x
_atom_site_fract_y
_atom_site_fract_z
_atom_site_occupancy
Sr1 Sr 0.000 0.000 0.000 1
Mg1 Mg 0.250 0.750 0.500 1
Mg2 Mg 0.750 0.250 0.500 1
Rh1 Rh 0.388 0.388 0.000 1
Rh2 Rh 0.612 0.612 0.000 1
# Formation energy, meV per atom: -378
# M_tot, μB per cell: 0.000
# SG: I4/mmm, No. 139
# N(E_F), states/eV per cell: 1.5

=====

[11]
# SCAN Ni3PtBr, single point on PBEsol structure
data_Ni3PtBr
_chemical_formula_sum 'Ni3 Pt1 Br1'
_symmetry_space_group_name_H-M 'P 1'
_symmetry_Int_Tables_number 1
_cell_length_a 4.218
_cell_length_b 4.218
_cell_length_c 4.218
_cell_angle_alpha 90.00
_cell_angle_beta 90.00
_cell_angle_gamma 90.00
loop_
_symmetry_equiv_pos_as_xyz
'x,y,z'
loop_
_atom_site_label
_atom_site_type_symbol
_atom_site_fract_x
_atom_site_fract_y
_atom_site_fract_z
_atom_site_occupancy
Ni1 Ni 0.000 0.000 0.500 1
Ni2 Ni 0.000 0.500 0.000 1
Ni3 Ni 0.500 0.000 0.000 1
Pt1 Pt 0.500 0.500 0.500 1
Br1 Br 0.000 0.000 0.000 1
# M_tot, μB per cell: 0.751
# SG: Pm-3m, No. 221
# Raw total energy, eV per formula unit: -133.19
# N(E_F), states/eV per cell: 3.2

=====

[12]
# SCAN Pr2SO2, single point on PBEsol structure
data_Pr2SO2
_chemical_formula_sum 'Pr2 S1 O2'
_symmetry_space_group_name_H-M 'P 1'
_symmetry_Int_Tables_number 1
_cell_length_a 3.972
_cell_length_b 3.972
_cell_length_c 6.807
_cell_angle_alpha 90.00
_cell_angle_beta 90.00
_cell_angle_gamma 120.00
loop_
_symmetry_equiv_pos_as_xyz
'x,y,z'
loop_
_atom_site_label
_atom_site_type_symbol
_atom_site_fract_x
_atom_site_fract_y
_atom_site_fract_z
_atom_site_occupancy
Pr1 Pr 0.333 0.667 0.280 1
Pr2 Pr 0.667 0.333 0.720 1
S1 S 0.000 0.000 0.000 1
O1 O 0.333 0.667 0.630 1
O2 O 0.667 0.333 0.370 1
# M_tot, μB per cell: 0.000
# SG: P-3m1, No. 164
# Raw total energy, eV per formula unit: -125.66
# N(E_F), states/eV per cell: 0.0

=====

Q: What is the M_tot in the ninth record?
A: 0.001 μB per cell